1.
Na3ScHg: optimized geometry, PBE.

a = 5.6189 Å, b = 5.6189 Å, c = 5.6189 Å
α = 90.00°, β = 90.00°, γ = 90.00°
Sites, in units of the cell vectors:
Sc: 0.5000 0.5000 0.5000
Na: 0.0000 0.5000 0.0000
Na: 0.0000 0.0000 0.5000
Na: 0.5000 0.0000 0.0000
Hg: 0.0000 0.0000 0.0000

Output
DOS(E_F) ... 5.2 states/eV/f.u.
Symmetry ... Pm-3m (221)
Energy relative to the lowest polymorph listed for this composition ... 0 meV/atom
Energy of formation from the pure elements ... 453 meV/atom

---

2.
NaScHg2: optimized geometry, PBE.

a = 7.8835 Å, b = 7.8835 Å, c = 6.5035 Å
α = 52.69°, β = 52.69°, γ = 90.00°
Sites, in units of the cell vectors:
Sc: 0.0000 0.0000 0.0000
Sc: 0.7500 0.2500 0.5000
Na: 0.5000 0.5000 0.0000
Na: 0.2500 0.7500 0.5000
Hg: 0.6349 0.1250 0.2500
Hg: 0.1151 0.6250 0.2500
Hg: 0.3750 0.3651 0.7500
Hg: 0.8750 0.8849 0.7500

Output
DOS(E_F) ... 3.9 states/eV/f.u.
Symmetry ... I-42d (122)
Energy of formation from the pure elements ... 2 meV/atom